No. 1
Material: CaReRu2
Method: DFT, GGA-PBE
State: optimized geometry

Cell lengths 2.833, 4.224, 5.929 Å; angles 90.00, 102.38, 90.00 degrees
Fractional coordinates of all 4 atoms:
Ca1 0.000 0.000 0.000
Re1 0.500 0.000 0.500
Ru1 0.304 0.500 0.703
Ru2 0.696 0.500 0.297

Total magnetic moment ... 0.00 μB per cell
Uncorrected energy ... -7.796 eV per atom
Formation energy from the elements ... 43.8 kJ per mole of atoms



No. 2
Material: CaReRu2
Method: DFT, GGA-PBE
State: optimized geometry

Cell lengths 5.791, 5.791, 5.791 Å; angles 151.76, 132.55, 56.14 degrees
Fractional coordinates of all 4 atoms:
Ca1 0.000 0.000 0.000
Re1 0.285 0.785 0.500
Ru1 0.502 0.502 0.000
Ru2 0.720 0.220 0.500

Total magnetic moment ... 0.00 μB per cell
Uncorrected energy ... -7.841 eV per atom
Formation energy from the elements ... 39.5 kJ per mole of atoms



No. 3
Material: CaRe2Ru
Method: DFT, GGA-PBE
State: optimized geometry

Cell lengths 3.775, 3.775, 4.737 Å; angles 90.00, 90.00, 90.00 degrees
Fractional coordinates of all 4 atoms:
Ca1 0.000 0.000 0.000
Re1 0.000 0.500 0.500
Re2 0.500 0.000 0.500
Ru1 0.500 0.500 0.000

Total magnetic moment ... 0.64 μB per cell
Uncorrected energy ... -8.245 eV per atom
Formation energy from the elements ... 77.0 kJ per mole of atoms



No. 4
Material: CaReRu
Method: DFT, GGA-PBE
State: optimized geometry

Cell lengths 5.969, 5.969, 5.969 Å; angles 152.02, 143.57, 46.55 degrees
Fractional coordinates of all 3 atoms:
Ca1 0.000 0.000 0.000
Re1 0.707 0.707 0.000
Ru1 0.294 0.294 0.000

Total magnetic moment ... 0.00 μB per cell
Uncorrected energy ... -7.528 eV per atom
Formation energy from the elements ... 36.7 kJ per mole of atoms



No. 5
Material: CaRe2Ru
Method: DFT, GGA-PBE
State: optimized geometry

Cell lengths 4.829, 4.829, 2.830 Å; angles 90.00, 90.00, 90.00 degrees
Fractional coordinates of all 4 atoms:
Ca1 0.000 0.000 0.000
Re1 0.000 0.500 0.500
Re2 0.500 0.000 0.500
Ru1 0.500 0.500 0.000

Total magnetic moment ... 0.00 μB per cell
Uncorrected energy ... -8.154 eV per atom
Formation energy from the elements ... 85.8 kJ per mole of atoms



No. 6
Material: CaReRu2
Method: DFT, GGA-PBE
State: optimized geometry

Cell lengths 5.934, 5.934, 5.934 Å; angles 104.04, 104.04, 120.98 degrees
Fractional coordinates of all 8 atoms:
Ca1 0.000 0.000 0.000
Ca2 0.750 0.250 0.500
Re1 0.250 0.750 0.500
Re2 0.500 0.500 0.000
Ru1 0.185 0.625 0.060
Ru2 0.375 0.435 0.560
Ru3 0.565 0.125 0.940
Ru4 0.875 0.815 0.440

Total magnetic moment ... 0.00 μB per cell
Uncorrected energy ... -7.631 eV per atom
Formation energy from the elements ... 59.8 kJ per mole of atoms



No. 7
Material: CaReRu2
Method: DFT, GGA-PBE
State: optimized geometry

Cell lengths 9.454, 9.454, 9.454 Å; angles 17.35, 17.35, 17.35 degrees
Fractional coordinates of all 4 atoms:
Ca1 0.000 0.000 0.000
Re1 0.500 0.500 0.500
Ru1 0.242 0.242 0.242
Ru2 0.758 0.758 0.758

Total magnetic moment ... 0.00 μB per cell
Uncorrected energy ... -7.791 eV per atom
Formation energy from the elements ... 44.3 kJ per mole of atoms



No. 8
Material: CaRe2Ru
Method: DFT, GGA-PBE
State: optimized geometry

Cell lengths 2.827, 4.146, 6.216 Å; angles 90.00, 101.54, 90.00 degrees
Fractional coordinates of all 4 atoms:
Ca1 0.000 0.000 0.000
Re1 0.594 0.500 0.300
Re2 0.912 0.000 0.504
Ru1 0.398 0.500 0.696

Total magnetic moment ... 0.00 μB per cell
Uncorrected energy ... -8.538 eV per atom
Formation energy from the elements ... 48.7 kJ per mole of atoms



No. 9
Material: Ca2ReRu
Method: DFT, GGA-PBE
State: optimized geometry

Cell lengths 4.779, 4.779, 4.779 Å; angles 60.00, 60.00, 60.00 degrees
Fractional coordinates of all 4 atoms:
Ca1 0.000 0.000 0.000
Ca2 0.250 0.250 0.250
Re1 0.750 0.750 0.750
Ru1 0.500 0.500 0.500

Total magnetic moment ... 0.00 μB per cell
Uncorrected energy ... -5.767 eV per atom
Formation energy from the elements ... 64.1 kJ per mole of atoms



No. 10
Material: CaRe2Ru
Method: DFT, GGA-PBE
State: optimized geometry

Cell lengths 2.763, 2.763, 8.874 Å; angles 90.00, 90.00, 90.00 degrees
Fractional coordinates of all 4 atoms:
Ca1 0.000 0.000 0.000
Re1 0.500 0.500 0.288
Re2 0.500 0.500 0.712
Ru1 0.000 0.000 0.500

Total magnetic moment ... 0.00 μB per cell
Uncorrected energy ... -8.553 eV per atom
Formation energy from the elements ... 47.3 kJ per mole of atoms



No. 11
Material: CaRe2Ru
Method: DFT, GGA-PBE
State: optimized geometry

Cell lengths 2.771, 3.775, 7.005 Å; angles 90.00, 90.00, 90.00 degrees
Fractional coordinates of all 4 atoms:
Ca1 0.000 0.000 0.000
Re1 0.500 0.500 0.317
Re2 0.500 0.500 0.683
Ru1 0.000 0.000 0.500

Total magnetic moment ... 0.00 μB per cell
Uncorrected energy ... -8.423 eV per atom
Formation energy from the elements ... 59.8 kJ per mole of atoms



No. 12
Material: Ca2ReRu
Method: DFT, GGA-PBE
State: optimized geometry

Cell lengths 4.922, 4.922, 4.922 Å; angles 60.00, 60.00, 60.00 degrees
Fractional coordinates of all 4 atoms:
Ca1 0.250 0.250 0.250
Ca2 0.750 0.750 0.750
Re1 0.000 0.000 0.000
Ru1 0.500 0.500 0.500

Total magnetic moment ... 3.19 μB per cell
Uncorrected energy ... -5.426 eV per atom
Formation energy from the elements ... 97.1 kJ per mole of atoms



No. 13
Material: CaRe2Ru
Method: DFT, GGA-PBE
State: optimized geometry

Cell lengths 6.003, 6.003, 6.003 Å; angles 101.07, 101.07, 128.03 degrees
Fractional coordinates of all 8 atoms:
Ca1 0.000 0.000 0.000
Ca2 0.750 0.250 0.500
Re1 0.185 0.625 0.060
Re2 0.375 0.435 0.560
Re3 0.565 0.125 0.940
Re4 0.875 0.815 0.440
Ru1 0.250 0.750 0.500
Ru2 0.500 0.500 0.000

Total magnetic moment ... 0.00 μB per cell
Uncorrected energy ... -8.107 eV per atom
Formation energy from the elements ... 90.3 kJ per mole of atoms



No. 14
Material: CaRe2Ru
Method: DFT, GGA-PBE
State: optimized geometry

Cell lengths 5.891, 5.891, 4.675 Å; angles 113.26, 113.26, 27.63 degrees
Fractional coordinates of all 4 atoms:
Ca1 0.000 0.000 0.000
Re1 0.214 0.214 0.714
Re2 0.786 0.786 0.286
Ru1 0.500 0.500 0.500

Total magnetic moment ... 0.00 μB per cell
Uncorrected energy ... -8.626 eV per atom
Formation energy from the elements ... 40.3 kJ per mole of atoms



No. 15
Material: Ca2ReRu
Method: DFT, GGA-PBE
State: optimized geometry

Cell lengths 9.841, 9.841, 9.841 Å; angles 17.71, 17.71, 17.71 degrees
Fractional coordinates of all 4 atoms:
Ca1 0.245 0.245 0.245
Ca2 0.755 0.755 0.755
Re1 0.000 0.000 0.000
Ru1 0.500 0.500 0.500

Total magnetic moment ... 0.00 μB per cell
Uncorrected energy ... -5.648 eV per atom
Formation energy from the elements ... 75.6 kJ per mole of atoms



No. 16
Material: CaReRu
Method: DFT, GGA-PBE
State: optimized geometry

Cell lengths 6.532, 6.532, 6.532 Å; angles 152.96, 152.96, 38.61 degrees
Fractional coordinates of all 3 atoms:
Ca1 0.000 0.000 0.000
Re1 0.698 0.698 0.000
Ru1 0.305 0.305 0.000

Total magnetic moment ... 0.00 μB per cell
Uncorrected energy ... -7.572 eV per atom
Formation energy from the elements ... 32.4 kJ per mole of atoms



No. 17
Material: CaReRu2
Method: DFT, GGA-PBE
State: optimized geometry

Cell lengths 5.187, 5.187, 5.187 Å; angles 136.26, 136.26, 63.57 degrees
Fractional coordinates of all 4 atoms:
Ca1 0.000 0.000 0.000
Re1 0.250 0.750 0.500
Ru1 0.500 0.500 0.000
Ru2 0.750 0.250 0.500

Total magnetic moment ... 0.00 μB per cell
Uncorrected energy ... -7.545 eV per atom
Formation energy from the elements ... 68.0 kJ per mole of atoms



No. 18
Material: CaReRu4
Method: DFT, GGA-PBE
State: optimized geometry

Cell lengths 5.154, 5.154, 5.154 Å; angles 60.00, 60.00, 60.00 degrees
Fractional coordinates of all 6 atoms:
Ca1 0.000 0.000 0.000
Re1 0.750 0.750 0.750
Ru1 0.375 0.375 0.375
Ru2 0.375 0.375 0.875
Ru3 0.375 0.875 0.375
Ru4 0.875 0.375 0.375

Total magnetic moment ... 0.00 μB per cell
Uncorrected energy ... -8.150 eV per atom
Formation energy from the elements ... 42.7 kJ per mole of atoms



No. 19
Material: Ca2ReRu
Method: DFT, GGA-PBE
State: optimized geometry

Cell lengths 3.023, 4.756, 5.411 Å; angles 90.00, 95.90, 90.00 degrees
Fractional coordinates of all 4 atoms:
Ca1 0.037 0.000 0.253
Ca2 0.963 0.000 0.747
Re1 0.500 0.500 0.000
Ru1 0.500 0.500 0.500

Total magnetic moment ... 0.00 μB per cell
Uncorrected energy ... -5.707 eV per atom
Formation energy from the elements ... 70.0 kJ per mole of atoms



No. 20
Material: Ca2ReRu
Method: DFT, GGA-PBE
State: optimized geometry

Cell lengths 3.010, 4.774, 5.387 Å; angles 90.00, 90.00, 90.00 degrees
Fractional coordinates of all 4 atoms:
Ca1 0.000 0.000 0.247
Ca2 0.000 0.000 0.753
Re1 0.500 0.500 0.500
Ru1 0.500 0.500 0.000

Total magnetic moment ... 0.00 μB per cell
Uncorrected energy ... -5.703 eV per atom
Formation energy from the elements ... 70.4 kJ per mole of atoms